(1)
Here is a relaxed Ac2PtO crystal from Alexandria. Energies are from GGA-PBE.

Properties
Its space-group type is R-3m (166). The value obtained for the polymorph energy (0 for the lowest one) is 0.831 eV/atom.

abc: 8.9148 8.9148 8.9148
angles: 24.78 24.78 24.78
Closest atoms and distances in Å follow each position.
Fractional positions:
Ac  0.1072  0.1072  0.1072  3 O 2.69, 1 Pt 2.78
Ac  0.8928  0.8928  0.8928  3 O 2.69, 1 Pt 2.78
Pt  0.0000  0.0000  0.0000  2 Ac 2.78
O  0.5000  0.5000  0.5000  6 Ac 2.69

---

(2)
Here is a relaxed Ac2Pt2O5 crystal from Alexandria. Energies are from GGA-PBE.

Properties
Its space-group type is C2/m (12).

abc: 7.3786 7.3786 5.4209
angles: 109.90 109.90 32.25
Closest atoms and distances in Å follow each position.
Fractional positions:
Ac  0.1177  0.1177  0.3150  7 O 2.53-2.81
Ac  0.8823  0.8823  0.6850  7 O 2.53-2.81
Pt  0.3997  0.3997  0.2079  4 O 2.01-2.10
Pt  0.6003  0.6003  0.7921  4 O 2.01-2.10
O  0.0777  0.0777  0.7934  2 Pt 2.07
O  0.3065  0.3065  0.4149  1 Pt 2.01
O  0.5000  0.5000  0.0000  2 Pt 2.10
O  0.6935  0.6935  0.5851  1 Pt 2.01
O  0.9223  0.9223  0.2066  2 Pt 2.07

---

(3)
Here is a relaxed Ac2PtO crystal from Alexandria. Energies are from GGA-PBE.

Properties
Its space-group type is R3m (160). The value obtained for the polymorph energy (0 for the lowest one) is 0.158 eV/atom.

abc: 8.8188 8.8188 8.8188
angles: 27.35 27.35 27.35
Closest atoms and distances in Å follow each position.
Fractional positions:
Ac  0.0000  0.0000  0.0000  3 Pt 2.89
Ac  0.1807  0.1807  0.1807  3 O 2.47
Pt  0.6036  0.6036  0.6036  3 Ac 2.89
O  0.8251  0.8251  0.8251  3 Ac 2.47

---

Number 1: formation energy (no corrections) -95.93 kJ/mol of atoms, spin magnetization 0.00 μB per formula unit. Number 2: formation energy (no corrections) -191.55 kJ/mol of atoms, spin magnetization 0.00 μB per formula unit. Number 3: formation energy (no corrections) -160.91 kJ/mol of atoms, spin magnetization 0.00 μB per formula unit.